Compound: YMoN3
Source: Alexandria via LeMat-Bulk
Functional: PBE
Structure: relaxed

For the raw total energy, the calculation gives -91.02 eV per cell. As for the volume: 130 Å³/cell. The total magnetization comes out at 0.0 μB/cell.

The structure belongs to space group P1 (No. 1); the cell edges are 4.308, 5.604 and 5.663 Å and the angles 93.26°, 106.64° and 94.53°. The inequivalent atoms are Y at (0.000, 0.000, 0.000), Y at (0.428, 0.431, 0.803), Mo at (0.648, 0.966, 0.429), Mo at (0.817, 0.433, 0.362), N at (0.067, 0.779, 0.623), N at (0.217, 0.389, 0.355), N at (0.311, 0.869, 0.548), N at (0.563, 0.157, 0.113), N at (0.675, 0.704, 0.142) and N at (0.868, 0.267, 0.693).